LuZnRh | SCAN | PBEsol geometry

Structure (POSCAR):
```
LuZnRh
1.0
6.7255 0.0000 0.0000
0.0000 3.8806 0.0000
0.0000 0.0000 7.9423
Lu Zn Rh
4 4 4
Direct
0.0431 0.2500 0.1813 Lu
0.4569 0.7500 0.6813 Lu
0.5431 0.2500 0.3187 Lu
0.9569 0.7500 0.8187 Lu
0.1329 0.2500 0.5623 Zn
0.3671 0.7500 0.0623 Zn
0.6329 0.2500 0.9377 Zn
0.8671 0.7500 0.4377 Zn
0.2502 0.2500 0.8730 Rh
0.2498 0.7500 0.3730 Rh
0.7502 0.2500 0.6270 Rh
0.7498 0.7500 0.1270 Rh
```

Values from the calculation:
formation energy from the elements = -0.8607 eV per atom
space-group type = Pnma
M_tot = 0.00 Bohr magnetons per cell